No. 1
# InAg2Mo

A relaxed InAg2Mo crystal (PBE, Alexandria via LeMat-Bulk).

Summary:
* energy relative to the elements: 0.4926 eV/atom
* volume: 73.6 Å³ per cell
* space group: I4/mmm (139)
* spin magnetization: 1.206 μB/f.u.
* E: -4.325 eV/atom

a b c (Å): 5.237 5.237 5.237
angles (deg): 133.79 133.79 67.42
Fractional coordinates of all 4 atoms:
In: 0.000 0.000 0.000
Ag: 0.250 0.750 0.500
Ag: 0.750 0.250 0.500
Mo: 0.500 0.500 0.000

No. 2
# InAg2Mo

A relaxed InAg2Mo crystal (PBE, Alexandria via LeMat-Bulk).

Summary:
* energy relative to the elements: 0.4126 eV/atom
* volume: 73.0 Å³ per cell
* space group: Cmmm (65)
* spin magnetization: 0.000 μB/f.u.
* E: -4.405 eV/atom

a b c (Å): 5.398 5.398 2.793
angles (deg): 90.00 90.00 116.18
Fractional coordinates of all 4 atoms:
In: 0.000 0.000 0.000
Ag: 0.000 0.500 0.500
Ag: 0.500 0.000 0.500
Mo: 0.500 0.500 0.000

No. 3
# InAg2Mo

A relaxed InAg2Mo crystal (PBE, Alexandria via LeMat-Bulk).

Summary:
* energy relative to the elements: 0.3684 eV/atom
* volume: 73.5 Å³ per cell
* space group: Cmmm (65)
* spin magnetization: 0.000 μB/f.u.
* E: -4.450 eV/atom

a b c (Å): 2.827 2.827 9.199
angles (deg): 90.00 90.00 91.26
Fractional coordinates of all 4 atoms:
In: 0.000 0.000 0.000
Ag: 0.500 0.500 0.263
Ag: 0.500 0.500 0.737
Mo: 0.000 0.000 0.500